Entry from the Alexandria database: In2RhSe after structural relaxation (PBE-GGA).

Lattice parameters (Å, degrees): 3.478 3.477 6.581 90.00 90.00 90.00
Fractional coordinates of all 4 atoms:
In (0.000, 0.000, 0.480)
In (0.000, 0.000, 0.020)
Rh (0.500, 0.500, 0.250)
Se (0.500, 0.500, 0.750)

For the volume, the calculation gives 19.9 Å³ per atom. As for the space group: No. 123. The value obtained for the formation energy without anion corrections is -0.09 eV/atom.

=====

Entry from the Alexandria database: In2RhSe after structural relaxation (PBE-GGA).

Lattice parameters (Å, degrees): 4.848 4.854 3.409 90.00 90.00 90.00
Fractional coordinates of all 4 atoms:
Se (0.000, 0.500, 0.500)
Rh (0.500, 0.000, 0.500)
In (0.500, 0.500, 0.000)
In (0.000, 0.000, 0.000)

For the volume, the calculation gives 20.1 Å³ per atom. As for the space group: No. 123. The value obtained for the formation energy without anion corrections is -0.02 eV/atom.

=====

Entry from the Alexandria database: In2RhSe2 after structural relaxation (PBE-GGA).

Lattice parameters (Å, degrees): 3.620 3.620 9.142 78.58 78.58 90.00
Fractional coordinates of all 5 atoms:
Se (0.250, 0.750, 0.500)
Rh (0.000, 0.000, 0.000)
In (0.416, 0.416, 0.167)
In (0.584, 0.584, 0.833)
Se (0.750, 0.250, 0.500)

For the volume, the calculation gives 23.0 Å³ per atom. As for the space group: No. 139. The value obtained for the formation energy without anion corrections is 0.12 eV/atom. The energy relative to the lowest polymorph listed for this composition comes out at 397.8 meV/atom.

=====

Entry from the Alexandria database: In2RhSe after structural relaxation (PBE-GGA).

Lattice parameters (Å, degrees): 6.572 6.572 7.090 62.39 62.39 90.00
Fractional coordinates of all 8 atoms:
In (0.104, 0.625, 0.250)
Se (0.500, 0.500, 0.000)
In (0.646, 0.125, 0.250)
Rh (0.750, 0.250, 0.500)
Se (0.250, 0.750, 0.500)
In (0.875, 0.896, 0.750)
In (0.375, 0.354, 0.750)
Rh (0.000, 0.000, 0.000)

For the volume, the calculation gives 28.9 Å³ per atom. As for the space group: No. 122. The value obtained for the formation energy without anion corrections is 0.03 eV/atom.

=====

Entry from the Alexandria database: In2RhSe2 after structural relaxation (PBE-GGA).

Lattice parameters (Å, degrees): 7.389 7.389 4.004 90.00 90.00 90.00
Fractional coordinates of all 10 atoms:
In (0.850, 0.650, 0.000)
Se (0.832, 0.332, 0.500)
Se (0.668, 0.832, 0.500)
In (0.150, 0.350, 0.000)
Rh (0.000, 0.000, 0.000)
Rh (0.500, 0.500, 0.000)
Se (0.168, 0.668, 0.500)
In (0.350, 0.850, 0.000)
In (0.650, 0.150, 0.000)
Se (0.332, 0.168, 0.500)

For the volume, the calculation gives 21.9 Å³ per atom. As for the space group: No. 127. The value obtained for the formation energy without anion corrections is 0.15 eV/atom. The energy relative to the lowest polymorph listed for this composition comes out at 425.7 meV/atom.

=====

Entry from the Alexandria database: InRh2Se3 after structural relaxation (PBE-GGA).

Lattice parameters (Å, degrees): 7.206 7.206 7.025 59.14 59.14 60.00
Fractional coordinates of all 12 atoms:
Rh (0.500, 0.500, 0.000)
Rh (0.000, 0.500, 0.000)
In (0.777, 0.777, 0.670)
Rh (0.000, 0.000, 0.000)
Se (0.753, 0.251, 0.242)
Se (0.251, 0.753, 0.242)
Rh (0.500, 0.000, 0.000)
Se (0.247, 0.247, 0.758)
Se (0.753, 0.753, 0.242)
Se (0.749, 0.247, 0.758)
In (0.223, 0.223, 0.330)
Se (0.247, 0.749, 0.758)

For the volume, the calculation gives 21.2 Å³ per atom. As for the space group: No. 166. The value obtained for the formation energy without anion corrections is -0.31 eV/atom.